SnAs3Br | GGA-PBE | relaxed

Summary:
- N(E_F): 3.9 states/eV per cell
- Total magnetization: 0.00 μB per atom
- Formation energy from raw total energies: 0.987 eV/atom
- Total DFT energy (no corrections): -2.938 eV per atom
- Density: 5.215 g/cm³
- Energy relative to the lowest polymorph listed for this composition: 75 meV/atom

a b c (Å): 5.128 5.128 5.128
angles (deg): 90.00 90.00 90.00
Space group Pm-3m (No. 221)
Unique sites:
Sn: 0.000 0.000 0.000 [1 per cell]
As: 0.000 0.500 0.500 [3 per cell]
Br: 0.500 0.500 0.500 [1 per cell]